Record 1
BaTmCuTe3 (PBE-GGA, relaxed); formation energy without anion corrections = -1.212 eV per atom
1.0
9.368 0.000 0.000
0.000 4.411 0.000
-2.646 0.000 9.518
Ba Tm Cu Te
2 2 2 6
Cartesian
1.132 1.103 2.364
5.590 3.309 7.154
0.824 3.309 8.020
5.899 1.103 1.499
-0.843 1.103 5.528
7.566 3.309 3.990
-1.266 1.103 8.220
0.664 3.309 5.020
3.770 3.309 1.575
2.952 1.103 7.943
6.059 1.103 4.498
7.989 3.309 1.298

Record 2
BaTmCu2Te4 (PBE-GGA, relaxed); formation energy without anion corrections = -0.698 eV per atom
1.0
-3.531 4.127 4.473
3.531 -4.127 4.473
3.531 4.127 -4.473
Ba Tm Cu Te
1 1 2 4
Cartesian
0.000 0.000 0.000
0.000 0.000 4.473
3.531 0.000 3.201
0.000 4.127 1.272
1.858 2.451 -1.729
1.673 -1.677 6.202
1.673 1.677 2.745
1.858 5.804 1.729

Record 3
BaUCuTe4 (PBE-GGA, relaxed); formation energy without anion corrections = -0.808 eV per atom
1.0
7.642 0.000 0.000
0.000 6.379 0.000
-2.879 0.000 9.131
Ba U Cu Te
2 2 2 8
Cartesian
1.681 1.595 0.564
3.082 4.784 8.567
0.498 1.595 5.118
4.265 4.784 4.013
1.101 4.784 2.934
3.662 1.595 6.196
-1.941 3.222 6.525
-1.941 6.346 6.525
1.522 4.784 5.450
2.968 4.784 1.207
1.796 1.595 7.924
3.241 1.595 3.680
6.705 0.032 2.606
6.705 3.157 2.606

Record 4
BaUCu2Te4 (PBE-GGA, relaxed); formation energy without anion corrections = -0.502 eV per atom
1.0
-3.616 4.105 4.440
3.616 -4.105 4.440
3.616 4.105 -4.440
Ba U Cu Te
1 1 2 4
Cartesian
0.000 0.000 0.000
0.000 0.000 4.440
3.616 0.000 3.197
0.000 4.105 1.243
1.827 2.459 -1.763
1.788 -1.646 6.203
1.788 1.646 2.678
1.827 5.751 1.763

Record 5
Ba2UCu2Te6 (PBE-GGA, relaxed); formation energy without anion corrections = -0.745 eV per atom
1.0
7.351 -3.655 0.000
7.351 3.655 0.000
-4.546 0.000 7.153
Ba U Cu Te
2 1 2 6
Cartesian
2.485 0.000 1.615
7.670 0.000 5.538
-2.273 0.000 3.577
2.636 0.000 5.859
7.519 0.000 1.294
5.656 1.766 1.323
0.532 0.000 4.497
4.499 1.766 5.830
5.656 -1.766 1.323
9.623 0.000 2.656
4.499 -1.766 5.830

Record 6
BaUCuTe3 (PBE-GGA, relaxed); formation energy without anion corrections = -0.865 eV per atom
1.0
9.550 0.000 0.000
0.000 4.413 0.000
-2.754 0.000 9.522
Ba U Cu Te
2 2 2 6
Cartesian
1.131 1.103 2.328
5.665 3.309 7.194
0.819 3.309 8.080
5.977 1.103 1.442
-0.855 1.103 5.570
7.651 3.309 3.952
-1.376 1.103 8.218
0.587 3.309 4.995
3.788 3.309 1.683
3.007 1.103 7.839
6.208 1.103 4.527
8.172 3.309 1.304

Record 7
BaY2CuTe (PBE-GGA, relaxed); formation energy without anion corrections = -0.056 eV per atom
1.0
5.318 0.000 0.000
0.000 5.318 0.000
0.000 0.000 5.980
Ba Y Cu Te
1 2 1 1
Cartesian
0.000 0.000 0.000
0.000 2.659 2.990
2.659 0.000 2.990
2.659 2.659 2.990
2.659 2.659 0.000

Record 8
BaYCu2Te4 (PBE-GGA, relaxed); formation energy without anion corrections = -0.714 eV per atom
1.0
-3.522 4.131 4.472
3.522 -4.131 4.472
3.522 4.131 -4.472
Ba Y Cu Te
1 1 2 4
Cartesian
0.000 0.000 0.000
0.000 0.000 4.472
3.522 0.000 3.196
0.000 4.131 1.275
1.835 2.432 -1.777
1.687 -1.699 6.249
1.687 1.699 2.695
1.835 5.829 1.777

Record 9
BaYbCuTe3 (PBE-GGA, relaxed); formation energy without anion corrections = -1.116 eV per atom
1.0
2.248 -7.233 0.000
2.248 7.233 0.000
0.000 0.000 11.840
Ba Yb Cu Te
2 2 2 6
Cartesian
2.248 3.646 8.880
2.248 -3.646 2.960
2.248 0.000 0.000
2.248 0.000 5.920
2.248 6.669 2.960
2.248 -6.669 8.880
2.248 5.153 0.772
2.248 5.153 5.148
2.248 0.839 2.960
2.248 -0.839 8.880
2.248 -5.153 6.692
2.248 -5.153 11.068

Record 10
BaZrCu2Te4 (PBE-GGA, relaxed); formation energy without anion corrections = -0.658 eV per atom
1.0
-3.448 4.273 4.572
3.448 -4.273 4.572
3.448 4.273 -4.572
Ba Zr Cu Te
1 1 2 4
Cartesian
0.000 0.000 0.000
0.000 0.000 4.572
3.448 0.000 3.342
0.000 4.273 1.230
1.881 2.671 -1.646
1.568 -1.602 6.218
1.568 1.602 2.926
1.881 5.875 1.646

Record 11
BaThCu2 (PBE-GGA, relaxed); ΔH_f (0 K) = 0.002 eV/atom
1.0
3.753 0.000 0.000
0.000 3.753 0.000
0.000 0.000 7.629
Ba Th Cu
1 1 2
Cartesian
0.000 0.000 0.000
0.000 0.000 3.815
1.877 1.877 2.420
1.877 1.877 5.209

Record 12
BaThCu10 (PBE-GGA, relaxed); ΔH_f (0 K) = -0.055 eV/atom
1.0
4.039 0.000 0.000
0.000 5.344 0.000
0.000 0.000 9.175
Ba Th Cu
1 1 10
Cartesian
0.000 0.000 0.000
0.000 2.672 4.588
0.000 0.000 3.132
0.000 0.000 6.043
0.000 2.672 1.615
0.000 2.672 7.560
2.019 0.000 4.588
2.019 1.399 2.453
2.019 1.399 6.723
2.019 2.672 0.000
2.019 3.945 2.453
2.019 3.945 6.723

Record 13
BaTi2Cu (PBE-GGA, relaxed); ΔH_f (0 K) = 0.823 eV/atom
1.0
0.000 3.401 3.401
3.401 0.000 3.401
3.401 3.401 0.000
Ba Ti Cu
1 2 1
Cartesian
0.000 0.000 0.000
1.700 1.700 1.700
5.101 5.101 5.101
3.401 3.401 3.401

Record 14
BaTi2Cu (PBE-GGA, relaxed); ΔH_f (0 K) = 0.795 eV/atom
1.0
-2.325 2.325 10.086
2.325 -2.325 10.086
2.325 2.325 -10.086
Ba Ti Cu
2 4 2
Cartesian
2.325 1.163 2.521
0.000 1.163 7.564
0.000 0.000 0.000
1.163 1.163 -5.043
1.163 -1.163 5.043
0.000 2.325 0.000
2.325 -1.163 7.564
0.000 3.488 2.521

Record 15
BaTiCu3 (PBE-GGA, relaxed); ΔH_f (0 K) = 1.744 eV/atom
1.0
5.207 0.000 0.000
0.000 5.207 0.000
0.000 0.000 5.207
Ba Ti Cu
1 1 3
Cartesian
0.000 0.000 0.000
2.604 2.604 2.604
0.000 0.000 2.604
0.000 2.604 0.000
2.604 0.000 0.000

Record 16
BaTiCu (PBE-GGA, relaxed); ΔH_f (0 K) = 0.394 eV/atom
1.0
2.509 -2.518 0.000
2.509 2.518 0.000
0.000 0.000 12.121
Ba Ti Cu
2 2 2
Cartesian
0.000 0.000 2.115
0.000 0.000 10.005
2.509 0.000 4.926
2.509 0.000 7.195
0.000 0.000 6.060
2.509 0.000 0.000

Record 17
BaTiCu3 (PBE-GGA, relaxed); ΔH_f (0 K) = 0.465 eV/atom
1.0
4.930 0.000 0.000
0.000 4.930 0.000
0.000 0.000 4.930
Ba Ti Cu
1 1 3
Cartesian
0.000 0.000 0.000
2.465 2.465 2.465
0.000 2.465 2.465
2.465 0.000 2.465
2.465 2.465 0.000

Record 18
Ba3TiCu (PBE-GGA, relaxed); ΔH_f (0 K) = 0.691 eV/atom
1.0
6.149 0.000 0.000
0.000 6.149 0.000
0.000 0.000 6.149
Ba Ti Cu
3 1 1
Cartesian
0.000 0.000 3.074
0.000 3.074 0.000
3.074 0.000 0.000
3.074 3.074 3.074
0.000 0.000 0.000

Record 19
BaTi2VCu (PBE-GGA, relaxed); ΔH_f (0 K) = 1.070 eV/atom
1.0
4.608 0.000 0.000
0.000 4.608 0.000
0.000 0.000 5.908
Ba Ti V Cu
1 2 1 1
Cartesian
0.000 0.000 0.000
0.000 2.304 2.954
2.304 0.000 2.954
0.000 0.000 2.954
2.304 2.304 0.000

Record 20
BaTlCu (PBE-GGA, relaxed); ΔH_f (0 K) = -0.160 eV/atom
1.0
4.722 0.000 0.000
2.351 5.806 0.000
2.357 1.256 6.434
Ba Tl Cu
2 2 2
Cartesian
1.182 1.202 1.226
8.249 5.860 5.208
3.538 2.513 3.872
5.892 4.549 2.563
3.542 3.518 1.122
5.889 3.544 5.312